Record 1
## DyTl2RuO8 (GGA-PBE)

Data for a relaxed structure of DyTl2RuO8.

Cell: 5.060 6.672 5.126 Å, 90.00 91.75 90.00°
Space group P2/m (No. 10)
Symmetry-distinct sites (fractional):
Dy 0.000 0.000 0.000 (multiplicity 1)
Tl 0.500 0.252 0.500 (multiplicity 2)
Ru 0.000 0.500 0.000 (multiplicity 1)
O 0.186 0.290 0.834 (multiplicity 4)
O 0.265 0.500 0.287 (multiplicity 2)
O 0.292 0.000 0.316 (multiplicity 2)

* crystal system: monoclinic
* ΔE_f (raw): -26.55 kcal/mol of atoms



Record 2
## Ba2CdOs3O12 (GGA-PBE)

Data for a relaxed structure of Ba2CdOs3O12.

Cell: 7.3342 7.3342 16.9676 Å, 90.00 90.00 120.00°
Space group R-3m (No. 166, hexagonal axes)
Symmetry-distinct sites (fractional):
Ba 0.0000 0.0000 0.1181 (multiplicity 6)
Cd 0.0000 0.0000 0.5000 (multiplicity 3)
Os 0.0000 0.5000 0.0000 (multiplicity 9)
O 0.0155 0.5078 0.8890 (multiplicity 18)
O 0.0709 0.5354 0.3279 (multiplicity 18)

* crystal system: trigonal
* ΔE_f (raw): -32.42 kcal/mol of atoms



Record 3
## Rb3Li2ErBr9 (GGA-PBE)

Data for a relaxed structure of Rb3Li2ErBr9.

Cell: 7.6986 7.6986 9.6297 Å, 90.00 90.00 120.00°
Space group P-3m1 (No. 164)
Symmetry-distinct sites (fractional):
Rb 0.0000 0.0000 0.0000 (multiplicity 1)
Rb 0.3333 0.6667 0.6804 (multiplicity 2)
Li 0.3333 0.6667 0.1483 (multiplicity 2)
Er 0.0000 0.0000 0.5000 (multiplicity 1)
Br 0.0000 0.5000 0.0000 (multiplicity 3)
Br 0.1684 0.3368 0.3330 (multiplicity 6)

* crystal system: trigonal
* ΔE_f (raw): -36.21 kcal/mol of atoms



Record 4
## TlHgRh2 (GGA-PBE)

Data for a relaxed structure of TlHgRh2.

Cell: 3.1587 3.1587 25.6023 Å, 90.00 90.00 120.00°
Space group R-3m (No. 166, hexagonal axes)
Symmetry-distinct sites (fractional):
Tl 0.0000 0.0000 0.0000 (multiplicity 3)
Hg 0.0000 0.0000 0.5000 (multiplicity 3)
Rh 0.0000 0.0000 0.2510 (multiplicity 6)

* calculated formation energy: 0.236 eV per atom
* crystal system: trigonal



Record 5
## EuInSn (GGA-PBE)

Data for a relaxed structure of EuInSn.

Cell: 5.2069 5.2069 3.5956 Å, 90.00 90.00 120.00°
Space group P-6m2 (No. 187)
Symmetry-distinct sites (fractional):
Eu 0.0000 0.0000 0.0000 (multiplicity 1)
In 0.3333 0.6667 0.5000 (multiplicity 1)
Sn 0.6667 0.3333 0.5000 (multiplicity 1)

* calculated formation energy: -0.455 eV per atom
* crystal system: hexagonal
* energy above the most stable polymorph in this dataset: 0 meV/atom



Record 6
## BeCd2 (GGA-PBE)

Data for a relaxed structure of BeCd2.

Cell: 2.989 2.989 23.967 Å, 90.00 90.00 90.00°
Space group I4_1/amd (No. 141, origin choice 2)
Symmetry-distinct sites (fractional):
Be 0.000 0.250 0.375 (multiplicity 4)
Cd 0.000 0.250 0.805 (multiplicity 8)

* calculated formation energy: 0.326 eV per atom
* crystal system: tetragonal
* energy above the most stable polymorph in this dataset: 78 meV/atom



Record 7
## La2BiTeH2 (GGA-PBE)

Data for a relaxed structure of La2BiTeH2.

Cell: 4.9584 4.9584 6.7372 Å, 90.00 90.00 120.00°
Space group P-3m1 (No. 164)
Symmetry-distinct sites (fractional):
La 0.3333 0.6667 0.2151 (multiplicity 2)
Bi 0.0000 0.0000 0.5000 (multiplicity 1)
Te 0.0000 0.0000 0.0000 (multiplicity 1)
H 0.3333 0.6667 0.8627 (multiplicity 2)

* crystal system: trigonal



Record 8
## ThMn2Al2C (GGA-PBE)

Data for a relaxed structure of ThMn2Al2C.

Cell: 3.992 3.992 5.601 Å, 90.00 90.00 90.00°
Space group P4/mmm (No. 123)
Symmetry-distinct sites (fractional):
Th 0.000 0.000 0.000 (multiplicity 1)
Mn 0.000 0.500 0.500 (multiplicity 2)
Al 0.500 0.500 0.240 (multiplicity 2)
C 0.000 0.000 0.500 (multiplicity 1)

* calculated formation energy: -0.304 eV per atom
* crystal system: tetragonal



Record 9
## LiThMg2 (GGA-PBE)

Data for a relaxed structure of LiThMg2.

Cell: 3.290 5.622 11.194 Å, 90.00 90.00 90.00°
Space group Imm2 (No. 44)
Symmetry-distinct sites (fractional):
Li 0.000 0.000 0.000 (multiplicity 2)
Th 0.000 0.500 0.228 (multiplicity 2)
Mg 0.000 0.000 0.458 (multiplicity 2)
Mg 0.000 0.500 0.721 (multiplicity 2)

* calculated formation energy: 0.165 eV per atom
* crystal system: orthorhombic
* energy above the most stable polymorph in this dataset: 157 meV/atom



Record 10
## Na2PdAuI6 (GGA-PBE)

Data for a relaxed structure of Na2PdAuI6.

Cell: 7.618 7.864 7.974 Å, 82.64 62.49 61.33°
Space group P1 (No. 1)
Symmetry-distinct sites (fractional):
Na 0.000 0.000 0.000 (multiplicity 1)
Na 0.050 0.490 0.491 (multiplicity 1)
Pd 0.645 0.689 0.064 (multiplicity 1)
Au 0.636 0.191 0.567 (multiplicity 1)
I 0.077 0.596 0.859 (multiplicity 1)
I 0.210 0.796 0.283 (multiplicity 1)
I 0.511 0.078 0.353 (multiplicity 1)
I 0.540 0.907 0.803 (multiplicity 1)
I 0.736 0.319 0.791 (multiplicity 1)
I 0.794 0.416 0.280 (multiplicity 1)

* crystal system: triclinic
* ΔE_f (raw): -12.17 kcal/mol of atoms



Record 11
## CePrSi4 (GGA-PBE)

Data for a relaxed structure of CePrSi4.

Cell: 7.663 7.663 7.663 Å, 90.00 90.00 90.00°
Space group F-43m (No. 216)
Symmetry-distinct sites (fractional):
Ce 0.000 0.000 0.000 (multiplicity 4)
Pr 0.250 0.250 0.750 (multiplicity 4)
Si 0.125 0.125 0.375 (multiplicity 16)

* crystal system: cubic
* energy above the most stable polymorph in this dataset: 276 meV/atom
* ΔE_f (raw): -7.84 kcal/mol of atoms



Record 12
## N (GGA-PBE)

Data for a relaxed structure of N.

Cell: 6.850 4.121 7.466 Å, 90.00 113.23 90.00°
Space group C2/c (No. 15)
Symmetry-distinct sites (fractional):
N 0.243 0.152 0.447 (multiplicity 8)

* crystal system: monoclinic
* energy above the most stable polymorph in this dataset: 1 meV/atom
* ΔE_f (raw): 0.03 kcal/mol of atoms



Number 1: calculated total energy -6.008 eV/atom, density 7.68 g/cm3. Number 2: calculated total energy -6.847 eV/atom, density 7.25 g/cm3. Number 3: calculated total energy -3.327 eV/atom, density 3.89 g/cm3. Number 4: calculated total energy -4.107 eV/atom, density 13.75 g/cm3. Number 5: calculated total energy -6.127 eV/atom, density 7.58 g/cm3. Number 6: calculated total energy -1.526 eV/atom, density 7.25 g/cm3. Number 7: calculated total energy -4.671 eV/atom, density 7.14 g/cm3. Number 8: calculated total energy -7.382 eV/atom, density 7.59 g/cm3. Number 9: calculated total energy -2.965 eV/atom, density 4.61 g/cm3. Number 10: calculated total energy -2.569 eV/atom, density 5.00 g/cm3. Number 11: calculated total energy -5.741 eV/atom, density 5.81 g/cm3. Number 12: calculated total energy -8.324 eV/atom, density 0.96 g/cm3.